Below is an optimized crystal structure of Nd2SeBr, with properties calculated at the GGA-PBE level.

Properties
- energy (eV per atom) = -5.132
- distance to the lowest polymorph of the same formula (meV/atom) = 0
- energy relative to the elements, uncorrected (eV per atom) = -1.459
- crystal system = trigonal

Cell: 4.110 4.110 8.092 Å, 75.29 75.29 60.00°
Fractional positions:
Nd: 0.263 0.263 0.210
Nd: 0.737 0.737 0.790
Se: 0.000 0.000 0.000
Br: 0.500 0.500 0.500